Entry 1:
A PBEsol-optimized structure of Sc3Si3Pt, computed with SCAN.

DFT total energy = -21.524 eV/atom
Calculated volume = 471 Å³/cell
ΔE_f (raw) = -106.32 kJ per mole of atoms
Crystal system = orthorhombic

Lattice parameters (Å, degrees): 3.9949 10.1544 11.5993 90.00 90.00 90.00
Last column: nearest neighbours and their distance in Å.
Positions (direct):
Sc 0.7500 0.3758 0.4791  7 Si 2.69-2.90
Sc 0.7500 0.1571 0.6989  6 Si 2.71-2.85
Sc 0.7500 0.0801 0.4010  6 Si 2.74-2.82
Sc 0.7500 0.4199 0.9010  6 Si 2.74-2.82
Sc 0.2500 0.6242 0.5209  7 Si 2.69-2.90
Si 0.7500 0.9834 0.1757  1 Si 2.36, 2 Pt 2.40
Si 0.2500 0.3117 0.0435  1 Si 2.40, 1 Pt 2.54
Sc 0.2500 0.8429 0.3011  6 Si 2.71-2.85
Si 0.2500 0.2474 0.8440  2 Si 2.36-2.40, 1 Pt 2.39
Si 0.7500 0.5166 0.6757  1 Si 2.36, 2 Pt 2.40
Si 0.7500 0.7474 0.6560  2 Si 2.36-2.40, 1 Pt 2.39
Pt 0.2500 0.3862 0.6778  4 Si 2.39-2.54
Si 0.2500 0.4834 0.3243  1 Si 2.36, 2 Pt 2.40
Pt 0.7500 0.6138 0.3222  4 Si 2.39-2.54
Sc 0.2500 0.5801 0.0990  6 Si 2.74-2.82
Si 0.2500 0.1883 0.5435  1 Si 2.40, 1 Pt 2.54
Si 0.2500 0.0166 0.8243  1 Si 2.36, 2 Pt 2.40
Pt 0.2500 0.1138 0.1778  4 Si 2.39-2.54
Si 0.7500 0.6883 0.9565  1 Si 2.40, 1 Pt 2.54
Si 0.2500 0.2526 0.3440  2 Si 2.36-2.40, 1 Pt 2.39
Sc 0.2500 0.6571 0.8011  6 Si 2.71-2.85
Si 0.7500 0.8117 0.4565  1 Si 2.40, 1 Pt 2.54
Pt 0.7500 0.8862 0.8222  4 Si 2.39-2.54
Sc 0.7500 0.1242 0.9791  7 Si 2.69-2.90
Sc 0.2500 0.8758 0.0209  7 Si 2.69-2.90
Si 0.7500 0.7526 0.1560  2 Si 2.36-2.40, 1 Pt 2.39
Sc 0.2500 0.9199 0.5990  6 Si 2.74-2.82
Sc 0.7500 0.3429 0.1989  6 Si 2.71-2.85

Entry 2:
A PBEsol-optimized structure of SrSc2Pt2, computed with SCAN.

DFT total energy = -39.417 eV/atom
Calculated volume = 113 Å³/cell
Formation enthalpy at 0 K = -5.95 eV/f.u.
Crystal system = tetragonal

Lattice parameters (Å, degrees): 4.4319 4.4319 6.5621 109.74 109.74 90.00
Last column: nearest neighbours and their distance in Å.
Positions (direct):
Pt 0.3829 0.3829 0.7659  4 Sc 2.69, 1 Pt 2.70
Sr 0.0000 0.0000 0.0000  8 Pt 3.41, 8 Sc 3.64
Sc 0.7500 0.2500 0.5000  4 Pt 2.69
Pt 0.6171 0.6171 0.2341  4 Sc 2.69, 1 Pt 2.70
Sc 0.2500 0.7500 0.5000  4 Pt 2.69

Entry 3:
A PBEsol-optimized structure of SrSc2Pt, computed with SCAN.

DFT total energy = -30.804 eV/atom
Calculated volume = 101 Å³/cell
Formation enthalpy at 0 K = -2.27 eV/f.u.
Crystal system = tetragonal
Energy above the most stable polymorph in this dataset = 0 kJ/mol of formula units

Lattice parameters (Å, degrees): 3.3853 3.3853 8.8082 90.00 90.00 90.00
Last column: nearest neighbours and their distance in Å.
Positions (direct):
Pt 0.5000 0.5000 0.0000  8 Sc 2.81
Sr 0.5000 0.5000 0.5000  4 Sr 3.39, 8 Sc 3.78
Sc 0.0000 0.0000 0.1674  4 Pt 2.81, 1 Sc 2.95
Sc 0.0000 0.0000 0.8326  4 Pt 2.81, 1 Sc 2.95

Entry 4:
A PBEsol-optimized structure of SrSc2Pt, computed with SCAN.

DFT total energy = -30.401 eV/atom
Calculated volume = 89 Å³/cell
Formation enthalpy at 0 K = -0.66 eV/f.u.
Crystal system = tetragonal
Energy above the most stable polymorph in this dataset = 156 kJ/mol of formula units

Lattice parameters (Å, degrees): 4.2291 4.2291 5.7890 111.42 111.42 90.00
Last column: nearest neighbours and their distance in Å.
Positions (direct):
Sc 0.0000 0.0000 0.0000  4 Sr 2.99, 4 Sc 3.26, 4 Pt 3.26
Sr 0.5000 0.5000 0.0000  8 Sc 2.99-3.26, 4 Pt 3.26
Sc 0.7500 0.2500 0.5000  4 Pt 2.99, 4 Sr 3.26, 4 Sc 3.26
Pt 0.2500 0.7500 0.5000  8 Sc 2.99-3.26, 4 Sr 3.26

Entry 5:
A PBEsol-optimized structure of ScTaPt2, computed with SCAN.

DFT total energy = -56.378 eV/atom
Calculated volume = 66 Å³/cell
Formation enthalpy at 0 K = -4.31 eV/f.u.
Crystal system = monoclinic

Lattice parameters (Å, degrees): 2.8431 4.6544 5.0117 90.00 95.15 90.00
Last column: nearest neighbours and their distance in Å.
Positions (direct):
Sc 0.4396 0.0000 0.4218  7 Pt 2.75-2.81, 2 Sc 2.84
Pt 0.9064 0.5000 0.3113  3 Ta 2.71-2.86, 4 Sc 2.76-2.81, 4 Pt 2.84-2.96
Pt 0.8495 0.0000 0.9445  3 Sc 2.75-2.80, 4 Ta 2.76-2.83, 4 Pt 2.84-2.96
Ta 0.3045 0.5000 0.8225  7 Pt 2.71-2.86, 2 Ta 2.84

Entry 6:
A PBEsol-optimized structure of ScTa2Pt, computed with SCAN.

DFT total energy = -54.524 eV/atom
Calculated volume = 67 Å³/cell
Formation enthalpy at 0 K = -0.50 eV/f.u.
Crystal system = cubic
Energy above the most stable polymorph in this dataset = 110 kJ/mol of formula units

Lattice parameters (Å, degrees): 4.5691 4.5691 4.5691 60.00 60.00 60.00
Last column: nearest neighbours and their distance in Å.
Positions (direct):
Ta 0.7500 0.7500 0.7500  4 Sc 2.80, 4 Pt 2.80
Pt 0.0000 0.0000 0.0000  8 Ta 2.80
Ta 0.2500 0.2500 0.2500  4 Sc 2.80, 4 Pt 2.80
Sc 0.5000 0.5000 0.5000  8 Ta 2.80

Entry 7:
A PBEsol-optimized structure of ScTa2Pt, computed with SCAN.

DFT total energy = -54.611 eV/atom
Calculated volume = 69 Å³/cell
Formation enthalpy at 0 K = -0.85 eV/f.u.
Crystal system = orthorhombic
Energy above the most stable polymorph in this dataset = 76 kJ/mol of formula units

Lattice parameters (Å, degrees): 2.8092 5.3057 5.3057 118.62 90.00 90.00
Last column: nearest neighbours and their distance in Å.
Positions (direct):
Sc 0.5000 0.5000 0.5000  2 Pt 2.71, 2 Sc 2.81, 8 Ta 3.00
Ta 0.0000 0.5000 0.0000  4 Ta 2.71-2.81, 4 Sc 3.00, 4 Pt 3.00
Ta 0.0000 0.0000 0.5000  4 Ta 2.71-2.81, 4 Pt 3.00, 4 Sc 3.00
Pt 0.5000 0.0000 0.0000  2 Sc 2.71, 2 Pt 2.81, 8 Ta 3.00

Entry 8:
A PBEsol-optimized structure of Sc2TaPt, computed with SCAN.

DFT total energy = -41.489 eV/atom
Calculated volume = 77 Å³/cell
Formation enthalpy at 0 K = -0.70 eV/f.u.
Crystal system = trigonal

Lattice parameters (Å, degrees): 3.0466 3.0466 9.7111 80.98 80.98 60.00
Last column: nearest neighbours and their distance in Å.
Positions (direct):
Sc 0.7567 0.7567 0.7298  3 Ta 2.95, 6 Sc 3.05
Ta 0.5060 0.5060 0.4819  3 Pt 2.77, 3 Sc 2.95, 6 Ta 3.05
Sc 0.9898 0.9898 0.0305  3 Pt 2.79, 6 Sc 3.05
Pt 0.2474 0.2474 0.2578  3 Ta 2.77, 3 Sc 2.79, 6 Pt 3.05

Entry 9:
A PBEsol-optimized structure of ScTa2Pt, computed with SCAN.

DFT total energy = -54.595 eV/atom
Calculated volume = 70 Å³/cell
Formation enthalpy at 0 K = -0.78 eV/f.u.
Crystal system = orthorhombic
Energy above the most stable polymorph in this dataset = 83 kJ/mol of formula units

Lattice parameters (Å, degrees): 2.8438 4.4997 5.4608 90.00 90.00 90.00
Last column: nearest neighbours and their distance in Å.
Positions (direct):
Sc 0.5000 0.5000 0.5000  2 Pt 2.73, 2 Sc 2.84, 8 Ta 2.99
Ta 0.0000 0.0000 0.2506  4 Ta 2.72-2.84, 4 Sc 2.99, 4 Pt 2.99
Pt 0.5000 0.5000 0.0000  2 Sc 2.73, 2 Pt 2.84, 8 Ta 2.99
Ta 0.0000 0.0000 0.7494  4 Ta 2.72-2.84, 4 Sc 2.99, 4 Pt 2.99

Entry 10:
A PBEsol-optimized structure of ScTa3Pt, computed with SCAN.

DFT total energy = -55.980 eV/atom
Calculated volume = 115 Å³/cell
Formation enthalpy at 0 K = 4.28 eV/f.u.
Crystal system = cubic
Energy above the most stable polymorph in this dataset = 0 kJ/mol of formula units

Lattice parameters (Å, degrees): 4.8620 4.8620 4.8620 90.00 90.00 90.00
Last column: nearest neighbours and their distance in Å.
Positions (direct):
Ta 0.0000 0.5000 0.0000  2 Pt 2.43
Ta 0.0000 0.0000 0.5000  2 Pt 2.43
Sc 0.5000 0.5000 0.5000  12 Ta 3.44
Pt 0.0000 0.0000 0.0000  6 Ta 2.43
Ta 0.5000 0.0000 0.0000  2 Pt 2.43

Entry 11:
A PBEsol-optimized structure of ScTaPt2, computed with SCAN.

DFT total energy = -56.077 eV/atom
Calculated volume = 68 Å³/cell
Formation enthalpy at 0 K = -3.10 eV/f.u.
Crystal system = tetragonal

Lattice parameters (Å, degrees): 3.4016 3.4016 5.9122 90.00 90.00 90.00
Last column: nearest neighbours and their distance in Å.
Positions (direct):
Sc 0.0000 0.0000 0.4695  6 Pt 2.70-3.01
Ta 0.5000 0.5000 0.7884  5 Pt 2.66-2.81
Pt 0.5000 0.5000 0.2634  4 Sc 2.70, 1 Ta 2.81, 4 Pt 2.94
Pt 0.0000 0.0000 0.9788  4 Ta 2.66, 1 Sc 2.90, 4 Pt 2.94

Entry 12:
A PBEsol-optimized structure of ScTa2Pt, computed with SCAN.

DFT total energy = -54.809 eV/atom
Calculated volume = 68 Å³/cell
Formation enthalpy at 0 K = -1.64 eV/f.u.
Crystal system = cubic
Energy above the most stable polymorph in this dataset = 0 kJ/mol of formula units

Lattice parameters (Å, degrees): 4.5861 4.5861 4.5861 60.00 60.00 60.00
Last column: nearest neighbours and their distance in Å.
Positions (direct):
Sc 0.7500 0.7500 0.7500  4 Ta 2.81, 4 Pt 2.81
Pt 0.5000 0.5000 0.5000  4 Ta 2.81, 4 Sc 2.81
Ta 0.2500 0.2500 0.2500  4 Ta 2.81, 4 Pt 2.81
Ta 0.0000 0.0000 0.0000  4 Ta 2.81, 4 Sc 2.81

Entry 13:
A PBEsol-optimized structure of ScTa3Pt, computed with SCAN.

DFT total energy = -54.890 eV/atom
Calculated volume = 96 Å³/cell
Formation enthalpy at 0 K = 9.73 eV/f.u.
Crystal system = cubic
Energy above the most stable polymorph in this dataset = 526 kJ/mol of formula units

Lattice parameters (Å, degrees): 4.5757 4.5757 4.5757 90.00 90.00 90.00
Last column: nearest neighbours and their distance in Å.
Positions (direct):
Sc 0.0000 0.0000 0.0000  6 Ta 2.29
Ta 0.5000 0.0000 0.0000  2 Sc 2.29
Pt 0.5000 0.5000 0.5000  12 Ta 3.24
Ta 0.0000 0.5000 0.0000  2 Sc 2.29
Ta 0.0000 0.0000 0.5000  2 Sc 2.29

Entry 14:
A PBEsol-optimized structure of ScTc3Pt, computed with SCAN.

DFT total energy = -36.556 eV/atom
Calculated volume = 102 Å³/cell
Formation enthalpy at 0 K = 6.83 eV/f.u.
Crystal system = cubic

Lattice parameters (Å, degrees): 4.6704 4.6704 4.6704 90.00 90.00 90.00
Last column: nearest neighbours and their distance in Å.
Positions (direct):
Tc 0.0000 0.0000 0.5000  2 Pt 2.34
Tc 0.5000 0.0000 0.0000  2 Pt 2.34
Tc 0.0000 0.5000 0.0000  2 Pt 2.34
Sc 0.5000 0.5000 0.5000  12 Tc 3.30
Pt 0.0000 0.0000 0.0000  6 Tc 2.34

Entry 15:
A PBEsol-optimized structure of Sc2TcPt, computed with SCAN.

DFT total energy = -33.866 eV/atom
Calculated volume = 70 Å³/cell
Formation enthalpy at 0 K = -1.74 eV/f.u.
Crystal system = tetragonal
Energy above the most stable polymorph in this dataset = 186 kJ/mol of formula units

Lattice parameters (Å, degrees): 3.5192 3.5192 5.6783 90.00 90.00 90.00
Last column: nearest neighbours and their distance in Å.
Positions (direct):
Sc 0.0000 0.0000 0.9582  4 Pt 2.69, 2 Tc 2.77-2.91
Tc 0.0000 0.0000 0.4708  6 Sc 2.68-2.91
Sc 0.5000 0.5000 0.2934  4 Tc 2.68, 2 Pt 2.75-2.93
Pt 0.5000 0.5000 0.7776  6 Sc 2.69-2.93

Entry 16:
A PBEsol-optimized structure of ScTc2Pt, computed with SCAN.

DFT total energy = -38.992 eV/atom
Calculated volume = 61 Å³/cell
Formation enthalpy at 0 K = -1.42 eV/f.u.
Crystal system = tetragonal

Lattice parameters (Å, degrees): 4.0537 4.0537 4.6852 115.63 115.63 90.00
Last column: nearest neighbours and their distance in Å.
Positions (direct):
Pt 0.5000 0.5000 0.0000  8 Tc 2.75-2.87, 4 Sc 2.75
Sc 0.2500 0.7500 0.5000  8 Tc 2.75-2.87, 4 Pt 2.75
Tc 0.7500 0.2500 0.5000  4 Tc 2.75, 4 Pt 2.75, 4 Sc 2.87
Tc 0.0000 0.0000 0.0000  4 Tc 2.75, 4 Sc 2.75, 4 Pt 2.87

Entry 17:
A PBEsol-optimized structure of Sc2TcPt, computed with SCAN.

DFT total energy = -34.298 eV/atom
Calculated volume = 67 Å³/cell
Formation enthalpy at 0 K = -3.46 eV/f.u.
Crystal system = tetragonal
Energy above the most stable polymorph in this dataset = 19 kJ/mol of formula units

Lattice parameters (Å, degrees): 3.2464 3.2464 6.3481 90.00 90.00 90.00
Last column: nearest neighbours and their distance in Å.
Positions (direct):
Sc 0.0000 0.0000 0.7438  4 Tc 2.77, 4 Pt 2.81, 1 Sc 3.10
Tc 0.5000 0.5000 0.5000  8 Sc 2.77
Pt 0.5000 0.5000 0.0000  8 Sc 2.81
Sc 0.0000 0.0000 0.2562  4 Tc 2.77, 4 Pt 2.81, 1 Sc 3.10

Entry 18:
A PBEsol-optimized structure of Sc2TcPt, computed with SCAN.

DFT total energy = -34.346 eV/atom
Calculated volume = 66 Å³/cell
Formation enthalpy at 0 K = -3.66 eV/f.u.
Crystal system = cubic
Energy above the most stable polymorph in this dataset = 0 kJ/mol of formula units

Lattice parameters (Å, degrees): 4.5316 4.5316 4.5316 60.00 60.00 60.00
Last column: nearest neighbours and their distance in Å.
Positions (direct):
Pt 0.5000 0.5000 0.5000  8 Sc 2.78
Tc 0.0000 0.0000 0.0000  8 Sc 2.78
Sc 0.7500 0.7500 0.7500  4 Tc 2.78, 4 Pt 2.78
Sc 0.2500 0.2500 0.2500  4 Tc 2.78, 4 Pt 2.78

Entry 19:
A PBEsol-optimized structure of ScTlPt2, computed with SCAN.

DFT total energy = -57.302 eV/atom
Calculated volume = 70 Å³/cell
Formation enthalpy at 0 K = -2.22 eV/f.u.
Crystal system = cubic

Lattice parameters (Å, degrees): 4.6304 4.6304 4.6304 60.00 60.00 60.00
Last column: nearest neighbours and their distance in Å.
Positions (direct):
Tl 0.2500 0.2500 0.2500  4 Pt 2.84, 4 Sc 2.84
Pt 0.7500 0.7500 0.7500  4 Sc 2.84, 4 Pt 2.84
Pt 0.0000 0.0000 0.0000  4 Pt 2.84, 4 Tl 2.84
Sc 0.5000 0.5000 0.5000  4 Tl 2.84, 4 Pt 2.84

Entry 20:
A PBEsol-optimized structure of ScTl3Pt, computed with SCAN.

DFT total energy = -60.022 eV/atom
Calculated volume = 139 Å³/cell
Formation enthalpy at 0 K = 1.39 eV/f.u.
Crystal system = cubic

Lattice parameters (Å, degrees): 5.1846 5.1846 5.1846 90.00 90.00 90.00
Last column: nearest neighbours and their distance in Å.
Positions (direct):
Sc 0.5000 0.5000 0.5000  12 Tl 3.67
Tl 0.5000 0.0000 0.0000  2 Pt 2.59
Tl 0.0000 0.5000 0.0000  2 Pt 2.59
Tl 0.0000 0.0000 0.5000  2 Pt 2.59
Pt 0.0000 0.0000 0.0000  6 Tl 2.59